## Pa2AlGa2Rh5 (PBE)

Data for an optimized crystal structure of Pa2AlGa2Rh5.

Computed properties:
* energy relative to the elements: -0.67 eV per atom

Unit cell a=10.005 b=10.005 c=3.481 alpha=90.00 beta=90.00 gamma=90.00
Space group P4/mbm (No. 127)
Inequivalent atoms, fractional coordinates:
Pa: 0.172 0.328 0.000 [4 per cell]
Al: 0.000 0.000 0.000 [2 per cell]
Ga: 0.129 0.629 0.000 [4 per cell]
Rh: 0.000 0.500 0.500 [2 per cell]
Rh: 0.013 0.789 0.500 [8 per cell]



## NdMg3 (PBE)

Data for an optimized crystal structure of NdMg3.

Computed properties:
* energy relative to the elements: -0.07 eV per atom

Unit cell a=4.764 b=4.764 c=4.744 alpha=90.00 beta=90.00 gamma=90.00
Space group P4/mmm (No. 123)
Inequivalent atoms, fractional coordinates:
Nd: 0.000 0.000 0.000 [1 per cell]
Mg: 0.000 0.500 0.500 [2 per cell]
Mg: 0.500 0.500 0.000 [1 per cell]



## Ag3Pb (PBE)

Data for an optimized crystal structure of Ag3Pb.

Computed properties:
* energy relative to the elements: 0.75 eV per atom

Unit cell a=5.471 b=5.471 c=5.471 alpha=90.00 beta=90.00 gamma=90.00
Space group Pm-3m (No. 221)
Inequivalent atoms, fractional coordinates:
Ag: 0.000 0.000 0.500 [3 per cell]
Pb: 0.000 0.000 0.000 [1 per cell]



## K2Ir2Pb (PBE)

Data for an optimized crystal structure of K2Ir2Pb.

Computed properties:
* polymorph energy (0 for the lowest one): 64.16 kJ per mole of atoms
* energy relative to the elements: 1.03 eV per atom

Unit cell a=9.652 b=9.652 c=2.729 alpha=90.00 beta=90.00 gamma=90.00
Space group P4/mbm (No. 127)
Inequivalent atoms, fractional coordinates:
K: 0.117 0.383 0.000 [4 per cell]
Ir: 0.183 0.683 0.500 [4 per cell]
Pb: 0.000 0.000 0.000 [2 per cell]



## CsK2LaBr6 (PBE)

Data for an optimized crystal structure of CsK2LaBr6.

Computed properties:
* formation energy (no corrections): -1.87 eV per atom

Unit cell a=8.3642 b=8.3642 c=22.1933 alpha=90.00 beta=90.00 gamma=120.00
Space group R3 (No. 146, hexagonal axes)
Inequivalent atoms, fractional coordinates:
Cs: 0.0000 0.0000 0.0000 [3 per cell]
K: 0.0000 0.0000 0.2037 [3 per cell]
K: 0.0000 0.0000 0.7184 [3 per cell]
La: 0.0000 0.0000 0.5167 [3 per cell]
Br: 0.0405 0.3515 0.1149 [9 per cell]
Br: 0.0784 0.6968 0.2697 [9 per cell]



## BaAcEu (PBE)

Data for an optimized crystal structure of BaAcEu.

Computed properties:
* energy relative to the elements: 0.05 eV per atom

Unit cell a=4.078 b=4.078 c=17.604 alpha=90.00 beta=90.00 gamma=90.00
Space group I4mm (No. 107)
Inequivalent atoms, fractional coordinates:
Ba: 0.000 0.000 0.000 [2 per cell]
Ac: 0.000 0.000 0.673 [2 per cell]
Eu: 0.000 0.000 0.323 [2 per cell]



Going through the records in order, we get theoretical density values of 10.89, 3.35, 5.38, 8.75, 3.07, 5.86 g/cm³.